This record from Alexandria via LeMat-Bulk describes DyNpP2 after structural relaxation. The functional is PBE-GGA.

Cell lengths 5.6218, 5.6218, 11.2695 Å; angles 90.00, 90.00, 90.00 degrees
With the nearest neighbours (Å) after each atom.
Space group I4_1/amd (No. 141, origin choice 2)
Unique sites:
1 Dy 0.0000 0.2500 0.3750 [4 per cell]  6 P 2.81-2.86
2 Np 0.0000 0.2500 0.8750 [4 per cell]  6 P 2.77-2.81
3 P 0.0000 0.2500 0.1212 [8 per cell]  3 Np 2.77-2.81, 3 Dy 2.81-2.86

Computed properties:
polymorph energy (0 for the lowest one): 0.00 eV per formula unit
total moment: 15.07 Bohr magnetons per cell
volume: 22.3 Å³ per atom
total DFT energy (no corrections): -0.3062 Ha/atom